Density functional theory data (PBE) for a geometry-optimized AlSnTe3 structure.

The total magnetization comes out at 0.0 Bohr magnetons per cell. As for the energy relative to the lowest polymorph listed for this composition: 0.678 eV/atom. The uncorrected formation energy is 0.4809 eV per atom. Its crystal system is cubic.

The space group is Pm-3m (No. 221) and the conventional cell measures 5.7227, 5.7227 and 5.7227 Å, with angles of 90.00, 90.00 and 90.00 degrees. The distinct sites, in fractional coordinates, are Al at (0.0000, 0.0000, 0.0000), Sn at (0.5000, 0.5000, 0.5000) and Te at (0.0000, 0.5000, 0.5000).

=====

Density functional theory data (PBE) for a geometry-optimized AlSn3Te structure.

The total magnetization comes out at 0.0 Bohr magnetons per cell. As for the energy relative to the lowest polymorph listed for this composition: 0.502 eV/atom. The uncorrected formation energy is 0.8137 eV per atom. Its crystal system is cubic.

The space group is Pm-3m (No. 221) and the conventional cell measures 5.8522, 5.8522 and 5.8522 Å, with angles of 90.00, 90.00 and 90.00 degrees. The distinct sites, in fractional coordinates, are Al at (0.0000, 0.0000, 0.0000), Sn at (0.0000, 0.5000, 0.5000) and Te at (0.5000, 0.5000, 0.5000).

=====

Density functional theory data (PBE) for a geometry-optimized Al2Sn2Te structure.

The total magnetization comes out at 0.0 Bohr magnetons per cell. As for the energy relative to the lowest polymorph listed for this composition: 0.039 eV/atom. The uncorrected formation energy is 0.1546 eV per atom. Its crystal system is tetragonal.

The space group is P4/mbm (No. 127) and the conventional cell measures 8.8655, 8.8655 and 3.1723 Å, with angles of 90.00, 90.00 and 90.00 degrees. The distinct sites, in fractional coordinates, are Al at (0.1265, 0.3735, 0.0000), Sn at (0.1682, 0.6682, 0.5000) and Te at (0.0000, 0.0000, 0.5000).

=====

Density functional theory data (PBE) for a geometry-optimized AlSn3Te structure.

The total magnetization comes out at 0.0 Bohr magnetons per cell. As for the energy relative to the lowest polymorph listed for this composition: 0.000 eV/atom. The uncorrected formation energy is 0.3122 eV per atom. Its crystal system is cubic.

The space group is Pm-3m (No. 221) and the conventional cell measures 5.3360, 5.3360 and 5.3360 Å, with angles of 90.00, 90.00 and 90.00 degrees. The distinct sites, in fractional coordinates, are Al at (0.0000, 0.0000, 0.0000), Sn at (0.0000, 0.0000, 0.5000) and Te at (0.5000, 0.5000, 0.5000).